This record from Alexandria describes crystalline Mg8Ni2Pt at its relaxed geometry. The functional is PBE-GGA.

Formation energy from the elements ... -0.25 eV/atom
Space group ... No. 12

Cell and atoms, written as POSCAR:
```
Mg8Ni2Pt
1.0
-1.058 -2.105 3.740
-2.751 -4.805 -3.483
7.713 -0.184 -0.535
Pt Mg Ni
1 8 2
Cartesian
-0.529 -1.053 1.870 Pt
5.607 -3.354 2.309 Mg
1.884 -1.686 -0.417 Mg
-0.645 -5.953 -0.922 Mg
2.021 -5.407 0.140 Mg
-1.703 -3.740 -2.587 Mg
4.550 -1.141 0.644 Mg
-0.193 -3.476 0.601 Mg
4.098 -3.618 -0.878 Mg
0.860 -3.693 -1.836 Ni
3.045 -3.401 1.558 Ni
```


This record from Alexandria describes crystalline Mg2Ni2Pt at its relaxed geometry. The functional is PBE-GGA.

Formation energy from the elements ... -0.31 eV/atom
Energy relative to the lowest polymorph listed for this composition ... 0 meV per atom
Space group ... No. 127

Cell and atoms, written as POSCAR:
```
Mg2Ni2Pt
1.0
6.332 0.000 0.000
0.000 6.332 0.000
0.000 0.000 3.796
Mg Ni Pt
4 4 2
Cartesian
1.129 4.294 1.898 Mg
4.294 5.203 1.898 Mg
5.203 2.037 1.898 Mg
2.037 1.129 1.898 Mg
3.959 0.793 0.000 Ni
5.539 3.959 0.000 Ni
2.373 5.539 0.000 Ni
0.793 2.373 0.000 Ni
0.000 0.000 0.000 Pt
3.166 3.166 0.000 Pt
```


This record from Alexandria describes crystalline MgNiPt at its relaxed geometry. The functional is PBE-GGA.

Formation energy from the elements ... -0.17 eV/atom
Space group ... No. 216

Cell and atoms, written as POSCAR:
```
MgNiPt
1.0
-1.425 -0.530 -3.839
-0.706 -3.807 -1.432
-3.874 -1.293 -0.604
Mg Pt Ni
1 1 1
Cartesian
-3.003 -2.815 -2.937 Mg
0.000 0.000 0.000 Pt
-4.504 -4.223 -4.406 Ni
```


This record from Alexandria describes crystalline MgNi2Pt2 at its relaxed geometry. The functional is PBE-GGA.

Formation energy from the elements ... -0.18 eV/atom
Energy relative to the lowest polymorph listed for this composition ... 48 meV per atom
Space group ... No. 127

Cell and atoms, written as POSCAR:
```
MgNi2Pt2
1.0
-4.625 4.454 3.285
1.856 -2.786 6.389
2.058 1.951 0.253
Ni Pt Mg
4 4 2
Cartesian
-0.243 2.040 2.267 Ni
-0.468 1.579 7.660 Ni
-2.223 3.769 5.053 Ni
1.512 -0.149 4.874 Ni
-2.696 2.458 2.981 Pt
-2.801 2.059 6.909 Pt
-0.074 -0.789 6.693 Pt
0.031 -0.391 2.765 Pt
-1.385 0.834 4.837 Mg
0.000 0.000 0.000 Mg
```


This record from Alexandria describes crystalline MgNi2Pt at its relaxed geometry. The functional is PBE-GGA.

Formation energy from the elements ... -0.22 eV/atom
Space group ... No. 216

Cell and atoms, written as POSCAR:
```
MgNi2Pt
1.0
4.243 0.000 0.000
2.121 3.674 0.000
2.121 1.225 3.464
Mg Pt Ni
1 1 2
Cartesian
4.243 2.450 1.732 Mg
6.364 3.674 2.598 Pt
0.000 0.000 0.000 Ni
2.121 1.225 0.866 Ni
```


This record from Alexandria describes crystalline MgNi2Pt at its relaxed geometry. The functional is PBE-GGA.

Formation energy from the elements ... -0.26 eV/atom
Space group ... No. 65

Cell and atoms, written as POSCAR:
```
MgNi2Pt
1.0
4.451 0.026 0.000
-1.190 4.289 0.000
0.000 0.000 2.797
Pt Ni Mg
1 2 1
Cartesian
2.226 0.013 1.399 Pt
1.631 2.158 0.000 Ni
0.000 0.000 0.000 Ni
-0.595 2.145 1.399 Mg
```


This record from Alexandria describes crystalline MgNiPt at its relaxed geometry. The functional is PBE-GGA.

Formation energy from the elements ... -0.37 eV/atom
Space group ... No. 44

Cell and atoms, written as POSCAR:
```
MgNiPt
1.0
-3.160 -3.457 -0.590
0.358 -2.927 -3.687
2.167 1.728 3.821
Mg Pt Ni
1 1 1
Cartesian
-2.802 -6.383 -4.276 Mg
-1.878 -4.277 -2.865 Pt
-0.925 -2.108 -1.412 Ni
```


This record from Alexandria describes crystalline MgNiPt at its relaxed geometry. The functional is PBE-GGA.

Formation energy from the elements ... -0.45 eV/atom
Space group ... No. 11

Cell and atoms, written as POSCAR:
```
MgNiPt
1.0
-2.295 2.946 0.714
-3.109 -2.261 -0.664
1.012 -2.929 5.239
Ni Mg Pt
2 2 2
Cartesian
-2.397 -2.421 2.276 Ni
-1.995 0.176 3.013 Ni
-0.889 -1.752 4.399 Mg
-3.503 -0.493 0.890 Mg
-3.591 -1.407 4.415 Pt
-0.801 -0.837 0.874 Pt
```


This record from Alexandria describes crystalline MgNi2Pt at its relaxed geometry. The functional is PBE-GGA.

Formation energy from the elements ... -0.23 eV/atom
Space group ... No. 12

Cell and atoms, written as POSCAR:
```
MgNi2Pt
1.0
-1.485 -1.606 -4.088
0.579 -3.248 -3.257
-3.015 -3.090 1.382
Pt Ni Mg
1 2 1
Cartesian
-0.980 -1.986 -1.491 Pt
-0.940 -4.873 -7.296 Ni
-1.926 -3.953 -3.030 Ni
-2.941 -5.958 -4.472 Mg
```


This record from Alexandria describes crystalline MgNi2Pt2 at its relaxed geometry. The functional is PBE-GGA.

Formation energy from the elements ... -0.01 eV/atom
Energy relative to the lowest polymorph listed for this composition ... 220 meV per atom
Space group ... No. 139

Cell and atoms, written as POSCAR:
```
MgNi2Pt2
1.0
-0.861 -1.425 5.733
1.789 3.281 4.656
-2.866 0.419 -5.220
Pt Ni Mg
2 2 1
Cartesian
-0.306 2.314 2.315 Pt
-1.632 -0.039 2.854 Pt
0.369 0.738 4.134 Ni
0.559 1.117 6.254 Ni
0.000 0.000 0.000 Mg
```


This record from Alexandria describes crystalline MgNi2Pt at its relaxed geometry. The functional is PBE-GGA.

Formation energy from the elements ... -0.02 eV/atom
Space group ... No. 166

Cell and atoms, written as POSCAR:
```
MgNi2Pt
1.0
8.635 -0.001 -0.001
8.203 2.699 -0.001
8.203 1.314 2.357
Ni Mg Pt
2 1 1
Cartesian
0.007 0.001 0.001 Ni
12.513 2.005 1.177 Ni
18.780 3.009 1.767 Mg
6.260 1.003 0.589 Pt
```


This record from Alexandria describes crystalline MgNi2Pt at its relaxed geometry. The functional is PBE-GGA.

Formation energy from the elements ... -0.22 eV/atom
Space group ... No. 99

Cell and atoms, written as POSCAR:
```
MgNi2Pt
1.0
-0.131 3.024 0.132
-2.121 0.003 -2.163
-4.218 -0.363 4.135
Mg Ni Pt
1 2 1
Cartesian
-4.345 1.236 2.141 Mg
-2.065 1.432 -0.095 Ni
-0.132 -0.011 0.129 Ni
-2.037 -0.175 1.997 Pt
```


This record from Alexandria describes crystalline MgNi2Pt2 at its relaxed geometry. The functional is PBE-GGA.

Formation energy from the elements ... -0.23 eV/atom
Energy relative to the lowest polymorph listed for this composition ... 0 meV per atom
Space group ... No. 127

Cell and atoms, written as POSCAR:
```
MgNi2Pt2
1.0
7.236 0.000 0.000
0.000 7.236 0.000
0.000 0.000 2.793
Pt Ni Mg
4 4 2
Cartesian
1.287 4.905 1.396 Pt
5.949 2.331 1.396 Pt
2.331 1.287 1.396 Pt
4.905 5.949 1.396 Pt
2.753 6.371 0.000 Ni
4.483 0.865 0.000 Ni
0.865 2.753 0.000 Ni
6.371 4.483 0.000 Ni
3.618 3.618 0.000 Mg
0.000 0.000 0.000 Mg
```


This record from Alexandria describes crystalline Mg5NiPt at its relaxed geometry. The functional is PBE-GGA.

Formation energy from the elements ... -0.10 eV/atom
Space group ... No. 15

Cell and atoms, written as POSCAR:
```
Mg5NiPt
1.0
6.745 0.019 -0.118
2.157 6.390 -0.118
3.051 2.197 7.937
Mg Pt Ni
10 2 2
Cartesian
4.945 7.345 5.835 Mg
3.449 2.125 2.808 Mg
8.058 3.999 7.506 Mg
4.635 3.695 6.777 Mg
3.896 4.607 0.196 Mg
7.130 3.331 4.165 Mg
4.823 5.274 3.537 Mg
7.008 1.261 1.867 Mg
8.504 6.481 4.894 Mg
7.319 4.910 0.925 Mg
6.464 5.235 5.835 Pt
5.490 3.370 1.867 Pt
1.526 1.098 3.969 Ni
0.000 0.000 0.000 Ni
```


This record from Alexandria describes crystalline MgNi2Pt2 at its relaxed geometry. The functional is PBE-GGA.

Formation energy from the elements ... -0.14 eV/atom
Energy relative to the lowest polymorph listed for this composition ... 89 meV per atom
Space group ... No. 139

Cell and atoms, written as POSCAR:
```
MgNi2Pt2
1.0
-0.402 -3.396 -0.740
3.462 -0.457 0.221
0.970 -3.200 5.890
Mg Pt Ni
1 2 2
Cartesian
0.000 0.000 0.000 Mg
2.616 -4.862 4.355 Pt
1.414 -2.191 1.016 Pt
2.981 -2.792 2.926 Ni
1.049 -4.261 2.446 Ni
```


This record from Alexandria describes crystalline Mg4NiPt5 at its relaxed geometry. The functional is PBE-GGA.

Formation energy from the elements ... -0.70 eV/atom
Space group ... No. 123

Cell and atoms, written as POSCAR:
```
Mg4NiPt5
1.0
2.930 0.000 0.000
0.000 2.930 0.000
0.000 0.000 17.950
Pt Mg Ni
5 4 1
Cartesian
1.465 1.465 12.637 Pt
1.465 1.465 8.975 Pt
1.465 1.465 1.628 Pt
1.465 1.465 5.314 Pt
1.465 1.465 16.323 Pt
0.000 0.000 7.139 Mg
0.000 0.000 14.494 Mg
0.000 0.000 3.456 Mg
0.000 0.000 10.811 Mg
0.000 0.000 0.000 Ni
```


This record from Alexandria describes crystalline Mg2NiPt2 at its relaxed geometry. The functional is PBE-GGA.

Formation energy from the elements ... -0.03 eV/atom
Space group ... No. 139

Cell and atoms, written as POSCAR:
```
Mg2NiPt2
1.0
3.665 0.000 0.000
0.000 3.665 0.000
1.832 1.832 6.881
Pt Ni Mg
2 1 2
Cartesian
3.665 1.832 3.440 Pt
1.832 3.665 3.440 Pt
0.000 0.000 0.000 Ni
1.832 1.832 1.417 Mg
3.665 3.665 5.464 Mg
```


This record from Alexandria describes crystalline MgNi2Pt at its relaxed geometry. The functional is PBE-GGA.

Formation energy from the elements ... -0.22 eV/atom
Space group ... No. 6

Cell and atoms, written as POSCAR:
```
MgNi2Pt
1.0
4.131 0.000 0.000
0.000 2.705 0.137
0.000 1.086 4.926
Pt Ni Mg
1 2 1
Cartesian
0.000 1.740 2.377 Pt
2.065 0.456 1.248 Ni
0.000 0.493 0.039 Ni
2.065 2.998 3.932 Mg
```


This record from Alexandria describes crystalline MgNi2Pt at its relaxed geometry. The functional is PBE-GGA.

Formation energy from the elements ... 0.06 eV/atom
Space group ... No. 122

Cell and atoms, written as POSCAR:
```
MgNi2Pt
1.0
3.654 0.000 0.000
0.000 3.654 0.000
1.827 1.827 8.916
Ni Pt Mg
4 2 2
Cartesian
4.568 4.663 6.687 Ni
2.741 2.646 6.687 Ni
2.836 0.914 2.229 Ni
0.819 2.741 2.229 Ni
0.000 0.000 0.000 Pt
3.654 1.827 4.458 Pt
1.827 3.654 4.458 Mg
1.827 1.827 0.000 Mg
```


This record from Alexandria describes crystalline MgNiPt6 at its relaxed geometry. The functional is PBE-GGA.

Formation energy from the elements ... -0.33 eV/atom
Space group ... No. 123

Cell and atoms, written as POSCAR:
```
MgNiPt6
1.0
3.911 0.000 0.000
0.000 3.911 0.000
0.000 0.000 7.905
Pt Mg Ni
6 1 1
Cartesian
0.000 1.956 2.021 Pt
1.956 0.000 2.021 Pt
1.956 1.956 0.000 Pt
1.956 0.000 5.884 Pt
0.000 1.956 5.884 Pt
1.956 1.956 3.952 Pt
0.000 0.000 0.000 Mg
0.000 0.000 3.952 Ni
```


This record from Alexandria describes crystalline MgNi3Pt at its relaxed geometry. The functional is PBE-GGA.

Formation energy from the elements ... 0.81 eV/atom
Energy relative to the lowest polymorph listed for this composition ... 0 meV per atom
Space group ... No. 221

Cell and atoms, written as POSCAR:
```
MgNi3Pt
1.0
-3.662 1.735 2.197
-0.386 -3.896 2.433
2.772 1.749 3.241
Ni Mg Pt
3 1 1
Cartesian
-1.831 0.867 1.098 Ni
-0.193 -1.948 1.217 Ni
1.386 0.875 1.620 Ni
-0.638 -0.206 3.935 Mg
0.000 0.000 0.000 Pt
```


This record from Alexandria describes crystalline Mg3NiPt12 at its relaxed geometry. The functional is PBE-GGA.

Formation energy from the elements ... -0.47 eV/atom
Space group ... No. 123

Cell and atoms, written as POSCAR:
```
Mg3NiPt12
1.0
-2.518 2.063 2.209
-2.867 -2.539 -0.896
3.851 -8.799 12.609
Pt Mg Ni
12 3 1
Cartesian
-1.739 -2.416 3.777 Pt
0.977 -6.778 7.445 Pt
1.951 -9.004 10.635 Pt
0.181 -2.259 5.820 Pt
-0.968 -2.334 1.077 Pt
1.152 -4.477 8.998 Pt
0.007 -4.560 4.268 Pt
2.126 -6.703 12.188 Pt
-0.793 -0.033 2.630 Pt
0.205 -6.859 10.144 Pt
-0.767 -4.638 6.961 Pt
-2.692 -0.238 0.656 Pt
2.895 -6.616 9.481 Mg
1.925 -4.399 6.305 Mg
0.955 -2.183 3.128 Mg
0.000 0.000 0.000 Ni
```


This record from Alexandria describes crystalline MgNi2Pt at its relaxed geometry. The functional is PBE-GGA.

Formation energy from the elements ... -0.23 eV/atom
Space group ... No. 47

Cell and atoms, written as POSCAR:
```
MgNi2Pt
1.0
-2.462 -1.658 0.434
2.082 -2.355 2.816
-1.221 2.624 3.098
Pt Mg Ni
1 1 2
Cartesian
-1.842 0.483 1.766 Pt
0.431 0.135 2.957 Mg
0.000 0.000 0.000 Ni
-0.190 -2.007 1.625 Ni
```


This record from Alexandria describes crystalline Mg2Ni2Pt at its relaxed geometry. The functional is PBE-GGA.

Formation energy from the elements ... -0.06 eV/atom
Energy relative to the lowest polymorph listed for this composition ... 249 meV per atom
Space group ... No. 127

Cell and atoms, written as POSCAR:
```
Mg2Ni2Pt
1.0
-4.807 1.726 -4.905
-3.685 -5.843 1.555
-1.482 1.458 1.966
Mg Pt Ni
4 2 4
Cartesian
-6.486 -2.295 -3.189 Mg
-3.637 0.265 -2.939 Mg
-2.006 -1.822 -0.161 Mg
-4.855 -4.382 -0.411 Mg
-4.246 -2.058 -1.675 Pt
0.000 0.000 0.000 Pt
-2.973 0.433 -0.481 Ni
-7.002 -3.092 -0.904 Ni
-3.884 -2.823 1.248 Ni
-6.091 0.164 -2.632 Ni
```


This record from Alexandria describes crystalline Mg3NiPt2 at its relaxed geometry. The functional is PBE-GGA.

Formation energy from the elements ... -0.65 eV/atom
Space group ... No. 65

Cell and atoms, written as POSCAR:
```
Mg3NiPt2
1.0
3.495 0.000 0.000
0.000 3.984 -1.319
0.000 -0.012 6.639
Mg Ni Pt
3 1 2
Cartesian
1.748 3.317 3.343 Mg
1.748 0.654 1.977 Mg
1.748 1.992 -0.659 Mg
0.000 0.000 0.000 Ni
0.000 1.333 4.026 Pt
0.000 2.638 1.294 Pt
```


This record from Alexandria describes crystalline Mg6NiPt2 at its relaxed geometry. The functional is PBE-GGA.

Formation energy from the elements ... -0.41 eV/atom
Space group ... No. 12

Cell and atoms, written as POSCAR:
```
Mg6NiPt2
1.0
-4.334 -0.589 -0.753
1.250 -5.221 -3.113
1.055 -0.555 7.542
Mg Pt Ni
6 2 1
Cartesian
-1.861 -1.571 -1.138 Mg
-2.178 -3.923 2.595 Mg
-1.222 -4.239 -2.728 Mg
0.778 -5.067 -0.485 Mg
0.150 -2.442 1.081 Mg
-2.806 -1.298 4.160 Mg
-0.325 -2.312 3.747 Pt
-1.702 -4.054 -0.071 Pt
0.000 0.000 0.000 Ni
```